A plane-wave DFT calculation with PBE was carried out for a geometry-optimized Mn2CrP structure.

Calculated values
The mass density comes out at 7.2 Mg/m³. Its density of states at the Fermi level is 4.24 states/eV/cell. The total energy comes out at -8.3166 eV per atom. Its space group is R-3m.

Cell and atoms, written as POSCAR:
```
Mn2CrP
1.0
1.3119 0.7574 7.5098
-1.3119 0.7574 7.5098
0.0000 -1.5149 7.5098
Mn Cr P
2 1 1
direct
0.2470 0.2470 0.2470 Mn
0.7530 0.7530 0.7530 Mn
0.0000 0.0000 0.0000 Cr
0.5000 0.5000 0.5000 P
```

A plane-wave DFT calculation with PBE was carried out for a geometry-optimized ZnHg2Br structure.

Calculated values
The mass density comes out at 8.7 Mg/m³. As for the formation energy (no corrections): 9.0 kJ per mole of atoms. The calculation puts the distance to the lowest polymorph of the same formula at 0.278 eV per atom. Its density of states at the Fermi level is 1.94 states/eV/cell. The total energy comes out at -0.7947 eV per atom. Its space group is P4/mmm.

Cell and atoms, written as POSCAR:
```
ZnHg2Br
1.0
5.1793 0.0000 0.0000
0.0000 5.1793 0.0000
0.0000 0.0000 3.8805
Zn Hg Br
1 2 1
direct
0.0000 0.0000 0.0000 Zn
0.0000 0.5000 0.5000 Hg
0.5000 0.0000 0.5000 Hg
0.5000 0.5000 0.0000 Br
```

A plane-wave DFT calculation with PBE was carried out for a geometry-optimized Ce3Sm structure.

Calculated values
The mass density comes out at 8.3 Mg/m³. The calculation puts the distance to the lowest polymorph of the same formula at 0.003 eV per atom. Its density of states at the Fermi level is 11.29 states/eV/cell. The total energy comes out at -5.5213 eV per atom. Its space group is Pm-3m.

Cell and atoms, written as POSCAR:
```
Ce3Sm
1.0
4.8477 0.0000 0.0000
0.0000 4.8477 0.0000
0.0000 0.0000 4.8477
Ce Sm
3 1
direct
0.0000 0.0000 0.5000 Ce
0.0000 0.5000 0.0000 Ce
0.5000 0.0000 0.0000 Ce
0.5000 0.5000 0.5000 Sm
```

A plane-wave DFT calculation with PBE was carried out for a geometry-optimized Sr2ThAl9 structure.

Calculated values
The mass density comes out at 4.2 Mg/m³. Its density of states at the Fermi level is 6.82 states/eV/cell. The total energy comes out at -3.9558 eV per atom. Its space group is R-3m.

Cell and atoms, written as POSCAR:
```
Sr2ThAl9
1.0
2.8648 1.6540 9.0320
-2.8648 1.6540 9.0320
0.0000 -3.3080 9.0320
Sr Th Al
2 1 9
direct
0.1416 0.1416 0.1416 Sr
0.8584 0.8584 0.8584 Sr
0.0000 0.0000 0.0000 Th
0.0748 0.5812 0.5812 Al
0.3347 0.3347 0.3347 Al
0.4188 0.4188 0.9252 Al
0.4188 0.9252 0.4188 Al
0.5000 0.5000 0.5000 Al
0.5812 0.0748 0.5812 Al
0.5812 0.5812 0.0748 Al
0.6653 0.6653 0.6653 Al
0.9252 0.4188 0.4188 Al
```

A plane-wave DFT calculation with PBE was carried out for a geometry-optimized Er4AlCd2Hg structure.

Calculated values
The mass density comes out at 9.4 Mg/m³. Its density of states at the Fermi level is 6.85 states/eV/cell. The total energy comes out at -3.3883 eV per atom. Its space group is R-3m.

Cell and atoms, written as POSCAR:
```
Er4AlCd2Hg
1.0
2.5946 1.4980 8.4866
-2.5946 1.4980 8.4866
0.0000 -2.9960 8.4866
Er Al Cd Hg
4 1 2 1
direct
0.1239 0.1239 0.1239 Er
0.3740 0.3740 0.3740 Er
0.6260 0.6260 0.6260 Er
0.8761 0.8761 0.8761 Er
0.0000 0.0000 0.0000 Al
0.2512 0.2512 0.2512 Cd
0.7488 0.7488 0.7488 Cd
0.5000 0.5000 0.5000 Hg
```

A plane-wave DFT calculation with PBE was carried out for a geometry-optimized NpPtPbO6 structure.

Calculated values
The mass density comes out at 8.7 Mg/m³. As for the formation energy (no corrections): -160.2 kJ per mole of atoms. The total energy comes out at -7.4872 eV per atom. Its space group is P-31c.

Cell and atoms, written as POSCAR:
```
NpPtPbO6
1.0
5.3792 0.0000 0.0000
-2.6896 4.6585 0.0000
0.0000 0.0000 11.1915
Np Pt Pb O
2 2 2 12
direct
0.3333 0.6667 0.2500 Np
0.6667 0.3333 0.7500 Np
0.3333 0.6667 0.7500 Pt
0.6667 0.3333 0.2500 Pt
0.0000 0.0000 0.0000 Pb
0.0000 0.0000 0.5000 Pb
0.0066 0.3635 0.6475 O
0.0066 0.6431 0.8525 O
0.3569 0.3635 0.8525 O
0.3569 0.9934 0.6475 O
0.3635 0.0066 0.1475 O
0.3635 0.3569 0.3525 O
0.6365 0.6431 0.6475 O
0.6365 0.9934 0.8525 O
0.6431 0.0066 0.3525 O
0.6431 0.6365 0.1475 O
0.9934 0.3569 0.1475 O
0.9934 0.6365 0.3525 O
```